[1]
This record from the Alexandria database describes Ba2InPt2 at its PBEsol-relaxed geometry. The functional is SCAN.

abc: 5.8845 5.8845 5.8845
angles: 95.41 116.93 116.93
With the nearest neighbours (Å) after each atom.
Element x y z (fractional)
Ba1 0.5000 0.2500 0.7500  4 Pt 3.15
In1 0.0000 0.0000 0.0000  2 Pt 2.65
Pt1 0.0000 0.6660 0.6660  1 Pt 2.63, 1 In 2.65
Ba2 0.5000 0.7500 0.2500  4 Pt 3.15
Pt2 0.0000 0.3340 0.3340  1 Pt 2.63, 1 In 2.65

Results
- formation energy (eV/atom) = -0.67
- space-group type = I4/mmm
- V (Å³ per atom) = 30.0

---

[2]
This record from the Alexandria database describes Ba2InPt2 at its PBEsol-relaxed geometry. The functional is SCAN.

abc: 4.5781 7.6984 7.6984
angles: 90.00 90.00 90.00
With the nearest neighbours (Å) after each atom.
Element x y z (fractional)
Ba1 0.5000 0.1739 0.6739  6 Pt 3.15-3.28
Ba2 0.5000 0.3261 0.1739  6 Pt 3.15-3.28
Pt1 0.0000 0.3726 0.8726  1 Pt 2.77, 2 In 3.03
Ba3 0.5000 0.8261 0.3261  6 Pt 3.15-3.28
In1 0.0000 0.5000 0.5000  4 Pt 3.03
Pt2 0.0000 0.8726 0.6274  1 Pt 2.77, 2 In 3.03
Pt3 0.0000 0.1274 0.3726  1 Pt 2.77, 2 In 3.03
Pt4 0.0000 0.6274 0.1274  1 Pt 2.77, 2 In 3.03
In2 0.0000 0.0000 0.0000  4 Pt 3.03
Ba4 0.5000 0.6739 0.8261  6 Pt 3.15-3.28

Results
- formation energy (eV/atom) = -0.71
- space-group type = P4/mbm
- V (Å³ per atom) = 27.1

---

[3]
This record from the Alexandria database describes BaInPt2 at its PBEsol-relaxed geometry. The functional is SCAN.

abc: 4.6204 4.6204 6.0762
angles: 67.65 67.65 60.00
With the nearest neighbours (Å) after each atom.
Element x y z (fractional)
Pt1 0.8051 0.8051 0.5847  3 In 2.71, 3 Pt 2.82
Ba1 0.0000 0.0000 0.0000  8 Pt 3.19-3.50
Pt2 0.1949 0.1949 0.4153  3 In 2.71, 3 Pt 2.82
In1 0.5000 0.5000 0.5000  6 Pt 2.71

Results
- formation energy (eV/atom) = -0.77
- space-group type = R-3m
- V (Å³ per atom) = 25.2

---

[4]
This record from the Alexandria database describes BaInPt at its PBEsol-relaxed geometry. The functional is SCAN.

abc: 4.5933 4.6460 4.6460
angles: 120.00 90.00 90.00
With the nearest neighbours (Å) after each atom.
Element x y z (fractional)
In1 0.4998 0.3333 0.6667  3 Pt 2.68
Ba1 0.0001 0.0000 0.0000  6 In 3.53, 6 Pt 3.53
Pt1 0.5001 0.6667 0.3333  3 In 2.68

Results
- formation energy (eV/atom) = -0.76
- space-group type = P-6m2
- V (Å³ per atom) = 28.6

---

[5]
This record from the Alexandria database describes Ba2InPt at its PBEsol-relaxed geometry. The functional is SCAN.

abc: 3.9429 5.5468 6.6450
angles: 114.67 107.26 90.00
With the nearest neighbours (Å) after each atom.
Element x y z (fractional)
Ba1 0.9532 0.9532 0.9064  2 Pt 3.32, 2 Ba 3.50, 4 In 3.62
Ba2 0.7662 0.2662 0.5323  4 Pt 3.44, 2 Ba 3.50, 2 In 3.63
In1 0.5610 0.5610 0.1220  2 Pt 2.68
Pt1 0.2196 0.7196 0.4393  2 In 2.68

Results
- formation energy (eV/atom) = -0.60
- space-group type = Imm2
- V (Å³ per atom) = 31.2

---

[6]
This record from the Alexandria database describes BaInPt2 at its PBEsol-relaxed geometry. The functional is SCAN.

abc: 4.2596 4.2596 5.7028
angles: 111.93 111.93 90.00
With the nearest neighbours (Å) after each atom.
Element x y z (fractional)
Pt1 0.7500 0.2500 0.5000  4 In 3.01, 4 Ba 3.22, 4 Pt 3.22
In1 0.2500 0.7500 0.5000  8 Pt 3.01-3.22, 4 Ba 3.22
Pt2 0.0000 0.0000 0.0000  4 Ba 3.01, 4 In 3.22, 4 Pt 3.22
Ba1 0.5000 0.5000 0.0000  8 Pt 3.01-3.22, 4 In 3.22

Results
- formation energy (eV/atom) = -0.16
- space-group type = I-4m2
- V (Å³ per atom) = 22.0

---

- Which of these has the lowest formation energy?
  number 3

---

- Among the records above, which one has the lowest V?
  number 6